[1]
Density functional theory data (GGA-PBEsol) for a geometry-optimized CdGaC2S structure.

Cell: 3.7595 3.7595 6.8279 Å, 90.00 90.00 90.00°
With the nearest neighbours (Å) after each atom.
Fractional coordinates of all 5 atoms:
C 0.5000 0.0000 0.0000  2 Ga 1.88
C 0.0000 0.5000 0.0000  2 Ga 1.88
Ga 0.0000 0.0000 0.0000  4 C 1.88
Cd 0.0000 0.0000 0.5000  4 S 2.66
S 0.5000 0.5000 0.5000  4 Cd 2.66

Space group: P4/mmm
Uncorrected formation energy, eV/atom: 1.8668
Total magnetization, μB per atom: 0.10
Calculated density, g cm⁻³: 4.10

---

[2]
Density functional theory data (GGA-PBEsol) for a geometry-optimized CdGe2RuC structure.

Cell: 3.8106 4.9045 4.9045 Å, 90.00 90.00 90.00°
With the nearest neighbours (Å) after each atom.
Fractional coordinates of all 5 atoms:
C 0.5000 0.0000 0.0000  2 Ru 1.91
Ru 0.0000 0.0000 0.0000  2 C 1.91
Ge 0.0000 0.0000 0.5000  2 Ru 2.45
Ge 0.0000 0.5000 0.0000  2 Ru 2.45
Cd 0.5000 0.5000 0.5000  8 Ge 3.11, 4 C 3.47

Space group: P4/mmm
Formation energy from the elements, eV per atom: 0.74
Total magnetization, μB per atom: 0.00
Calculated density, g cm⁻³: 6.72